The following is a PBE calculation of DyThCu after structural relaxation, from Alexandria.

Lattice parameters (Å, degrees): 6.6247 6.6247 6.6247 149.16 149.16 44.17
Atoms (fractional coordinates):
Dy: 0.0000 0.0000 0.0000
Th: 0.2910 0.2910 0.0000
Cu: 0.6384 0.6384 0.0000

- spin magnetization (μB/f.u.) = 0.0
- energy of formation from the pure elements (eV per atom) = -0.063